Compound: LaErTi
Source: Alexandria via LeMat-Bulk
Functional: PBE-GGA
Structure: optimized geometry

Cell: 3.590 3.575 13.112 Å, 90.00 90.12 90.00°
Fractional positions:
1 La 0.249 0.250 0.399
2 La 0.751 0.750 0.601
3 Er 0.249 0.250 0.811
4 Er 0.751 0.750 0.189
5 Ti 0.251 0.250 0.043
6 Ti 0.749 0.750 0.957

- Formation enthalpy at 0 K: 8 kJ/mol of atoms
- N(E_F): 1.92 states/eV per atom
- Space-group type: P2_1/m, No. 11

=====

Compound: La2Er6Tl
Source: Alexandria via LeMat-Bulk
Functional: PBE-GGA
Structure: optimized geometry

Cell: 9.716 10.358 5.562 Å, 90.00 90.00 90.00°
Fractional positions:
1 La 0.187 0.248 0.000
2 La 0.313 0.748 0.500
3 La 0.687 0.252 0.500
4 La 0.813 0.752 0.000
5 Er 0.015 0.174 0.500
6 Er 0.143 0.600 0.000
7 Er 0.177 0.923 0.000
8 Er 0.323 0.423 0.500
9 Er 0.357 0.100 0.500
10 Er 0.485 0.674 0.000
11 Er 0.515 0.326 0.000
12 Er 0.643 0.900 0.500
13 Er 0.677 0.577 0.500
14 Er 0.823 0.077 0.000
15 Er 0.857 0.400 0.000
16 Er 0.985 0.826 0.500
17 Tl 0.000 0.500 0.500
18 Tl 0.500 0.000 0.000

- Formation enthalpy at 0 K: 2 kJ/mol of atoms
- N(E_F): 1.49 states/eV per atom
- Space-group type: Pnnm, No. 58

=====

Compound: La3ErTl2
Source: Alexandria via LeMat-Bulk
Functional: PBE-GGA
Structure: optimized geometry

Cell: 5.225 10.572 6.894 Å, 90.00 90.00 90.00°
Fractional positions:
1 La 0.000 0.050 0.000
2 La 0.000 0.316 0.405
3 La 0.000 0.684 0.905
4 La 0.000 0.950 0.500
5 La 0.500 0.187 0.785
6 La 0.500 0.813 0.285
7 Er 0.500 0.462 0.138
8 Er 0.500 0.538 0.638
9 Tl 0.000 0.376 0.887
10 Tl 0.000 0.624 0.387
11 Tl 0.500 0.138 0.290
12 Tl 0.500 0.862 0.790

- Polymorph energy (0 for the lowest one): 0 meV/atom
- Formation enthalpy at 0 K: -28 kJ/mol of atoms
- N(E_F): 1.19 states/eV per atom
- Space-group type: Pmc2_1, No. 26

=====

Compound: LaErTl6
Source: Alexandria via LeMat-Bulk
Functional: PBE-GGA
Structure: optimized geometry

Cell: 4.828 4.828 9.621 Å, 90.00 90.00 90.00°
Fractional positions:
1 La 0.000 0.000 0.000
2 Er 0.000 0.000 0.500
3 Tl 0.000 0.500 0.257
4 Tl 0.000 0.500 0.743
5 Tl 0.500 0.000 0.257
6 Tl 0.500 0.000 0.743
7 Tl 0.500 0.500 0.000
8 Tl 0.500 0.500 0.500

- Formation enthalpy at 0 K: -27 kJ/mol of atoms
- N(E_F): 0.25 states/eV per atom
- Space-group type: P4/mmm, No. 123

=====

Compound: LaEr2Tl
Source: Alexandria via LeMat-Bulk
Functional: PBE-GGA
Structure: optimized geometry

Cell: 7.918 3.677 8.475 Å, 90.00 92.91 90.00°
Fractional positions:
1 La 0.155 0.250 0.102
2 La 0.845 0.750 0.898
3 Er 0.327 0.750 0.427
4 Er 0.413 0.750 0.831
5 Er 0.587 0.250 0.169
6 Er 0.673 0.250 0.573
7 Tl 0.101 0.250 0.669
8 Tl 0.899 0.750 0.331

- Polymorph energy (0 for the lowest one): 82 meV/atom
- Formation enthalpy at 0 K: -10 kJ/mol of atoms
- N(E_F): 1.07 states/eV per atom
- Space-group type: P2_1/m, No. 11

=====

Compound: LaErTl2
Source: Alexandria via LeMat-Bulk
Functional: PBE-GGA
Structure: optimized geometry

Cell: 4.698 4.698 21.317 Å, 90.00 90.00 120.00°
Fractional positions:
1 La 0.000 0.000 0.000
2 La 0.333 0.667 0.667
3 La 0.667 0.333 0.333
4 Er 0.000 0.000 0.818
5 Er 0.333 0.667 0.485
6 Er 0.667 0.333 0.151
7 Tl 0.000 0.000 0.418
8 Tl 0.000 0.000 0.571
9 Tl 0.333 0.667 0.084
10 Tl 0.333 0.667 0.237
11 Tl 0.667 0.333 0.751
12 Tl 0.667 0.333 0.904

- Formation enthalpy at 0 K: -9 kJ/mol of atoms
- N(E_F): 1.43 states/eV per atom
- Space-group type: R3m, No. 160

=====

Compound: La3Er2Tl
Source: Alexandria via LeMat-Bulk
Functional: PBE-GGA
Structure: optimized geometry

Cell: 6.632 6.749 10.138 Å, 101.06 99.86 114.26°
Fractional positions:
1 La 0.103 0.362 0.262
2 La 0.231 0.442 0.943
3 La 0.334 0.548 0.619
4 La 0.666 0.452 0.381
5 La 0.769 0.558 0.057
6 La 0.897 0.638 0.738
7 Er 0.198 0.939 0.403
8 Er 0.289 0.009 0.067
9 Er 0.711 0.991 0.933
10 Er 0.802 0.061 0.597
11 Tl 0.387 0.115 0.733
12 Tl 0.613 0.885 0.267

- Formation enthalpy at 0 K: -10 kJ/mol of atoms
- N(E_F): 1.27 states/eV per atom
- Space-group type: P-1, No. 2

=====

Compound: LaEr3Tl
Source: Alexandria via LeMat-Bulk
Functional: PBE-GGA
Structure: optimized geometry

Cell: 10.526 5.393 11.021 Å, 90.00 90.00 90.00°
Fractional positions:
1 La 0.220 0.250 0.015
2 La 0.280 0.750 0.515
3 La 0.720 0.250 0.485
4 La 0.780 0.750 0.985
5 Er 0.094 0.250 0.609
6 Er 0.096 0.750 0.168
7 Er 0.137 0.750 0.846
8 Er 0.363 0.250 0.346
9 Er 0.404 0.250 0.668
10 Er 0.406 0.750 0.109
11 Er 0.594 0.250 0.891
12 Er 0.596 0.750 0.332
13 Er 0.637 0.750 0.654
14 Er 0.863 0.250 0.154
15 Er 0.904 0.250 0.832
16 Er 0.906 0.750 0.391
17 Tl 0.073 0.250 0.336
18 Tl 0.427 0.750 0.836
19 Tl 0.573 0.250 0.164
20 Tl 0.927 0.750 0.664

- Formation enthalpy at 0 K: -5 kJ/mol of atoms
- N(E_F): 1.09 states/eV per atom
- Space-group type: Pnma, No. 62

=====

Compound: La3ErTl4
Source: Alexandria via LeMat-Bulk
Functional: PBE-GGA
Structure: optimized geometry

Cell: 3.840 3.840 16.421 Å, 90.00 90.00 90.00°
Fractional positions:
1 La 0.000 0.000 0.000
2 La 0.000 0.000 0.260
3 La 0.000 0.000 0.740
4 Er 0.000 0.000 0.500
5 Tl 0.500 0.500 0.130
6 Tl 0.500 0.500 0.390
7 Tl 0.500 0.500 0.610
8 Tl 0.500 0.500 0.870

- Formation enthalpy at 0 K: -39 kJ/mol of atoms
- N(E_F): 0.84 states/eV per atom
- Space-group type: P4/mmm, No. 123

=====

Compound: La12ErTl3
Source: Alexandria via LeMat-Bulk
Functional: PBE-GGA
Structure: optimized geometry

Cell: 5.086 5.086 20.583 Å, 90.00 90.00 90.00°
Fractional positions:
1 La 0.000 0.000 0.000
2 La 0.000 0.000 0.247
3 La 0.000 0.000 0.500
4 La 0.000 0.000 0.753
5 La 0.000 0.500 0.124
6 La 0.000 0.500 0.371
7 La 0.000 0.500 0.629
8 La 0.000 0.500 0.876
9 La 0.500 0.000 0.124
10 La 0.500 0.000 0.371
11 La 0.500 0.000 0.629
12 La 0.500 0.000 0.876
13 Er 0.500 0.500 0.500
14 Tl 0.500 0.500 0.000
15 Tl 0.500 0.500 0.246
16 Tl 0.500 0.500 0.754

- Formation enthalpy at 0 K: -17 kJ/mol of atoms
- N(E_F): 1.46 states/eV per atom
- Space-group type: P4/mmm, No. 123

=====

Compound: LaEr2Tl
Source: Alexandria via LeMat-Bulk
Functional: PBE-GGA
Structure: optimized geometry

Cell: 7.753 7.753 7.753 Å, 90.00 90.00 90.00°
Fractional positions:
1 La 0.000 0.000 0.000
2 La 0.000 0.500 0.500
3 La 0.500 0.000 0.500
4 La 0.500 0.500 0.000
5 Er 0.250 0.250 0.250
6 Er 0.250 0.250 0.750
7 Er 0.250 0.750 0.250
8 Er 0.250 0.750 0.750
9 Er 0.750 0.250 0.250
10 Er 0.750 0.250 0.750
11 Er 0.750 0.750 0.250
12 Er 0.750 0.750 0.750
13 Tl 0.000 0.000 0.500
14 Tl 0.000 0.500 0.000
15 Tl 0.500 0.000 0.000
16 Tl 0.500 0.500 0.500

- Polymorph energy (0 for the lowest one): 198 meV/atom
- Formation enthalpy at 0 K: 1 kJ/mol of atoms
- N(E_F): 1.71 states/eV per atom
- Space-group type: Fm-3m, No. 225

=====

Compound: LaEr5Tl6
Source: Alexandria via LeMat-Bulk
Functional: PBE-GGA
Structure: optimized geometry

Cell: 7.495 7.495 6.532 Å, 98.36 98.36 97.63°
Fractional positions:
1 La 0.000 0.000 0.000
2 Er 0.166 0.834 0.500
3 Er 0.338 0.662 0.000
4 Er 0.500 0.500 0.500
5 Er 0.662 0.338 0.000
6 Er 0.834 0.166 0.500
7 Tl 0.080 0.428 0.256
8 Tl 0.252 0.252 0.732
9 Tl 0.428 0.080 0.256
10 Tl 0.572 0.920 0.744
11 Tl 0.748 0.748 0.268
12 Tl 0.920 0.572 0.744

- Polymorph energy (0 for the lowest one): 85 meV/atom
- Formation enthalpy at 0 K: -23 kJ/mol of atoms
- N(E_F): 0.94 states/eV per atom
- Space-group type: C2/m, No. 12

=====

Compound: LaEr2Tl3
Source: Alexandria via LeMat-Bulk
Functional: PBE-GGA
Structure: optimized geometry

Cell: 3.789 3.789 11.798 Å, 90.00 90.00 90.00°
Fractional positions:
1 La 0.000 0.000 0.000
2 Er 0.000 0.000 0.341
3 Er 0.000 0.000 0.659
4 Tl 0.500 0.500 0.185
5 Tl 0.500 0.500 0.500
6 Tl 0.500 0.500 0.815

- Formation enthalpy at 0 K: -34 kJ/mol of atoms
- N(E_F): 0.79 states/eV per atom
- Space-group type: P4/mmm, No. 123

=====

Compound: La4ErTl
Source: Alexandria via LeMat-Bulk
Functional: PBE-GGA
Structure: optimized geometry

Cell: 10.050 10.050 6.174 Å, 90.74 90.74 140.63°
Fractional positions:
1 La 0.044 0.453 0.277
2 La 0.211 0.270 0.118
3 La 0.270 0.211 0.618
4 La 0.453 0.044 0.777
5 La 0.547 0.956 0.223
6 La 0.730 0.789 0.382
7 La 0.789 0.730 0.882
8 La 0.956 0.547 0.723
9 Er 0.368 0.632 0.750
10 Er 0.632 0.368 0.250
11 Tl 0.137 0.863 0.250
12 Tl 0.863 0.137 0.750

- Polymorph energy (0 for the lowest one): 48 meV/atom
- Formation enthalpy at 0 K: -6 kJ/mol of atoms
- N(E_F): 1.37 states/eV per atom
- Space-group type: C2/c, No. 15

=====

Compound: La5ErTl4
Source: Alexandria via LeMat-Bulk
Functional: PBE-GGA
Structure: optimized geometry

Cell: 3.750 3.750 22.838 Å, 90.00 90.00 90.00°
Fractional positions:
1 La 0.000 0.000 0.000
2 La 0.000 0.000 0.196
3 La 0.000 0.000 0.390
4 La 0.000 0.000 0.610
5 La 0.000 0.000 0.804
6 Er 0.500 0.500 0.500
7 Tl 0.500 0.500 0.098
8 Tl 0.500 0.500 0.294
9 Tl 0.500 0.500 0.706
10 Tl 0.500 0.500 0.902

- Formation enthalpy at 0 K: -30 kJ/mol of atoms
- N(E_F): 1.51 states/eV per atom
- Space-group type: P4/mmm, No. 123

=====

Compound: LaEr2Tl
Source: Alexandria via LeMat-Bulk
Functional: PBE-GGA
Structure: optimized geometry

Cell: 4.799 4.890 11.159 Å, 90.00 102.38 90.00°
Fractional positions:
1 La 0.192 0.250 0.383
2 La 0.808 0.750 0.617
3 Er 0.055 0.750 0.110
4 Er 0.438 0.750 0.876
5 Er 0.562 0.250 0.124
6 Er 0.945 0.250 0.890
7 Tl 0.341 0.250 0.682
8 Tl 0.659 0.750 0.318

- Polymorph energy (0 for the lowest one): 0 meV/atom
- Formation enthalpy at 0 K: -18 kJ/mol of atoms
- N(E_F): 1.24 states/eV per atom
- Space-group type: P2_1/m, No. 11

=====

Compound: LaEr2Tl
Source: Alexandria via LeMat-Bulk
Functional: PBE-GGA
Structure: optimized geometry

Cell: 4.949 4.949 4.840 Å, 90.00 90.00 90.00°
Fractional positions:
1 La 0.000 0.000 0.000
2 Er 0.000 0.500 0.500
3 Er 0.500 0.000 0.500
4 Tl 0.500 0.500 0.000

- Polymorph energy (0 for the lowest one): 14 meV/atom
- Formation enthalpy at 0 K: -16 kJ/mol of atoms
- N(E_F): 1.42 states/eV per atom
- Space-group type: P4/mmm, No. 123

=====

Compound: La2ErTl2
Source: Alexandria via LeMat-Bulk
Functional: PBE-GGA
Structure: optimized geometry

Cell: 8.255 8.255 4.765 Å, 90.00 90.00 90.00°
Fractional positions:
1 La 0.169 0.331 0.000
2 La 0.331 0.831 0.000
3 La 0.669 0.169 0.000
4 La 0.831 0.669 0.000
5 Er 0.000 0.000 0.500
6 Er 0.500 0.500 0.500
7 Tl 0.132 0.632 0.500
8 Tl 0.368 0.132 0.500
9 Tl 0.632 0.868 0.500
10 Tl 0.868 0.368 0.500

- Polymorph energy (0 for the lowest one): 0 meV/atom
- Formation enthalpy at 0 K: -32 kJ/mol of atoms
- N(E_F): 1.53 states/eV per atom
- Space-group type: P4/mbm, No. 127

=====

Compound: La7Er12Tl
Source: Alexandria via LeMat-Bulk
Functional: PBE-GGA
Structure: optimized geometry

Cell: 8.754 8.754 8.754 Å, 88.77 88.77 88.77°
Fractional positions:
1 La 0.000 0.000 0.000
2 La 0.129 0.277 0.715
3 La 0.277 0.715 0.129
4 La 0.285 0.871 0.723
5 La 0.715 0.129 0.277
6 La 0.723 0.285 0.871
7 La 0.871 0.723 0.285
8 Er 0.043 0.380 0.158
9 Er 0.158 0.043 0.380
10 Er 0.163 0.612 0.493
11 Er 0.380 0.158 0.043
12 Er 0.388 0.507 0.837
13 Er 0.493 0.163 0.612
14 Er 0.507 0.837 0.388
15 Er 0.612 0.493 0.163
16 Er 0.620 0.842 0.957
17 Er 0.837 0.388 0.507
18 Er 0.842 0.957 0.620
19 Er 0.957 0.620 0.842
20 Tl 0.500 0.500 0.500

- Formation enthalpy at 0 K: 16 kJ/mol of atoms
- N(E_F): 1.62 states/eV per atom
- Space-group type: R-3, No. 148

=====

Compound: LaEr2Tl
Source: Alexandria via LeMat-Bulk
Functional: PBE-GGA
Structure: optimized geometry

Cell: 3.650 3.650 9.148 Å, 90.00 90.00 90.00°
Fractional positions:
1 La 0.000 0.000 0.000
2 Er 0.500 0.500 0.280
3 Er 0.500 0.500 0.720
4 Tl 0.000 0.000 0.500

- Polymorph energy (0 for the lowest one): 18 meV/atom
- Formation enthalpy at 0 K: -16 kJ/mol of atoms
- N(E_F): 1.17 states/eV per atom
- Space-group type: P4/mmm, No. 123